{
  "formula": "GeHPd2",
  "functional": "PBE-GGA",
  "state": "relaxed",
  "space_group": "R-3m (166)",
  "dft_energy_ev_per_cell": -19.153,
  "cell": [[-1.031, -0.978, 2.622], [-2.094, -2.123, 0.081], [3.511, -5.519, 1.020]],
  "species": ["H", "Ge", "Pd", "Pd"],
  "frac_coords": [[0.000, 0.000, 0.000], [0.500, 0.500, 0.500], [0.730, 0.730, 0.810], [0.270, 0.270, 0.190]]
}